A plane-wave DFT calculation with PBE-GGA was carried out for a relaxed CdBiPO crystal.

a b c (Å): 4.1068 4.1068 9.0867
angles (deg): 90.00 90.00 90.00
With the nearest neighbours (Å) after each atom.
Space group P4/nmm (No. 129, origin choice 2)
Unique sites:
1 Cd 0.2500 0.7500 0.0000 [2 per cell]  4 P 2.69, 4 Cd 2.90
2 Bi 0.2500 0.2500 0.3684 [2 per cell]  4 O 2.38
3 P 0.2500 0.2500 0.8081 [2 per cell]  4 Cd 2.69
4 O 0.2500 0.7500 0.5000 [2 per cell]  4 Bi 2.38

Calculated values
Energy above the lowest structure with this stoichiometry ... 31 meV per atom
Total energy ... -16.97 eV/f.u.

---

A plane-wave DFT calculation with PBE-GGA was carried out for a relaxed CdBiPO crystal.

a b c (Å): 4.7317 4.7317 8.4658
angles (deg): 90.00 90.00 90.00
With the nearest neighbours (Å) after each atom.
Space group P4/nmm (No. 129, origin choice 2)
Unique sites:
1 Cd 0.2500 0.2500 0.0010 [2 per cell]  4 O 2.37
2 Bi 0.2500 0.7500 0.5000 [2 per cell]  4 P 2.78
3 P 0.2500 0.2500 0.6719 [2 per cell]  4 Bi 2.78, 1 Cd 2.79
4 O 0.2500 0.7500 0.0000 [2 per cell]  4 Cd 2.37

Calculated values
Energy above the lowest structure with this stoichiometry ... 391 meV per atom
Total energy ... -15.53 eV/f.u.

---

A plane-wave DFT calculation with PBE-GGA was carried out for a relaxed CdBiPO crystal.

a b c (Å): 4.1529 4.1529 31.6001
angles (deg): 90.00 90.00 120.00
With the nearest neighbours (Å) after each atom.
Space group R-3m (No. 166, hexagonal axes)
Unique sites:
1 Cd 0.0000 0.0000 0.1974 [6 per cell]  4 P 2.57-2.88
2 Bi 0.0000 0.0000 0.3794 [6 per cell]  4 O 2.28-2.48
3 P 0.0000 0.0000 0.1063 [6 per cell]  4 Cd 2.57-2.88
4 O 0.0000 0.0000 0.3073 [6 per cell]  4 Bi 2.28-2.48

Calculated values
Energy above the lowest structure with this stoichiometry ... 3 meV per atom
Total energy ... -17.08 eV/f.u.

---

A plane-wave DFT calculation with PBE-GGA was carried out for a relaxed CdBiPO crystal.

a b c (Å): 10.3097 15.6832 4.4842
angles (deg): 90.00 90.00 90.00
With the nearest neighbours (Å) after each atom.
Space group Pbam (No. 55)
Unique sites:
1 Cd 0.0821 0.1109 0.0000 [4 per cell]  2 O 2.29-2.38
2 Cd 0.0941 0.6374 0.0000 [4 per cell]  2 O 2.30-2.33, 2 P 2.50
3 Bi 0.2126 0.4787 0.5000 [4 per cell]  2 O 2.35
4 Bi 0.2360 0.2690 0.5000 [4 per cell]  2 O 2.36
5 P 0.0134 0.3555 0.5000 [4 per cell]  2 Cd 2.50, 1 Bi 2.67
6 P 0.0219 0.9306 0.5000 [4 per cell]  1 P 2.22
7 O 0.2221 0.2239 0.0000 [4 per cell]  2 Cd 2.29-2.33, 2 Bi 2.36
8 O 0.2312 0.5221 0.0000 [4 per cell]  2 Cd 2.30-2.38, 2 Bi 2.35

Calculated values
Energy above the lowest structure with this stoichiometry ... 86 meV per atom
Total energy ... -16.75 eV/f.u.

---

A plane-wave DFT calculation with PBE-GGA was carried out for a relaxed CdBiPO crystal.

a b c (Å): 4.5857 6.2628 6.0575
angles (deg): 90.00 90.00 90.00
With the nearest neighbours (Å) after each atom.
Space group Pmc2_1 (No. 26)
Unique sites:
1 Cd 0.0000 0.1660 0.0000 [2 per cell]  2 O 2.30-2.32, 2 P 2.56
2 Bi 0.5000 0.2688 0.4344 [2 per cell]  2 O 2.38
3 P 0.5000 0.3037 0.8788 [2 per cell]  2 Cd 2.56, 2 Bi 2.70
4 O 0.0000 0.1830 0.3820 [2 per cell]  2 Cd 2.30-2.32, 2 Bi 2.38

Calculated values
Energy above the lowest structure with this stoichiometry ... 0 meV per atom
Total energy ... -17.10 eV/f.u.

---

A plane-wave DFT calculation with PBE-GGA was carried out for a relaxed CdBiPO crystal.

a b c (Å): 6.3415 6.3699 8.5198
angles (deg): 90.00 90.00 90.00
With the nearest neighbours (Å) after each atom.
Space group P2_12_12_1 (No. 19)
Unique sites:
1 Cd 0.9999 0.2185 0.1045 [4 per cell]  2 O 2.28-2.33, 1 P 2.55
2 Bi 0.0130 0.7039 0.9279 [4 per cell]  1 O 2.18
3 P 0.2493 0.4875 0.7197 [4 per cell]  2 Cd 2.55-2.65, 2 Bi 2.70-2.76
4 O 0.2214 0.9681 0.5084 [4 per cell]  1 Bi 2.18, 2 Cd 2.28-2.33

Calculated values
Energy above the lowest structure with this stoichiometry ... 107 meV per atom
Total energy ... -16.67 eV/f.u.

---

A plane-wave DFT calculation with PBE-GGA was carried out for a relaxed CdBiPO crystal.

a b c (Å): 3.8309 6.6211 6.9334
angles (deg): 90.00 90.00 90.00
With the nearest neighbours (Å) after each atom.
Space group Pmc2_1 (No. 26)
Unique sites:
1 Cd 0.0000 0.1207 0.0000 [2 per cell]  2 O 2.30, 1 P 2.54
2 Bi 0.5000 0.4253 0.5720 [2 per cell]  2 O 2.33-2.44
3 P 0.0000 0.2377 0.3675 [2 per cell]  2 Cd 2.54-2.66, 2 Bi 2.69
4 O 0.5000 0.2768 0.8941 [2 per cell]  2 Cd 2.30, 2 Bi 2.33-2.44

Calculated values
Energy above the lowest structure with this stoichiometry ... 35 meV per atom
Total energy ... -16.95 eV/f.u.

---

A plane-wave DFT calculation with PBE-GGA was carried out for a relaxed TmCd2BiO6 crystal.

a b c (Å): 5.3313 5.3891 5.7041
angles (deg): 68.66 89.39 75.44
With the nearest neighbours (Å) after each atom.
Space group P-1 (No. 2)
Unique sites:
1 Tm 0.0000 0.0000 0.0000 [1 per cell]  6 O 2.16-2.32
2 Cd 0.3960 0.2233 0.6047 [2 per cell]  4 O 2.18-2.31
3 Bi 0.5000 0.5000 0.0000 [1 per cell]  6 O 2.09-2.15
4 O 0.2506 0.8561 0.7153 [2 per cell]  1 Bi 2.14, 1 Cd 2.18, 1 Tm 2.32
5 O 0.2611 0.2533 0.9816 [2 per cell]  1 Bi 2.09, 1 Tm 2.16, 1 Cd 2.31
6 O 0.2819 0.6217 0.2775 [2 per cell]  1 Bi 2.15, 2 Cd 2.22-2.29, 1 Tm 2.25

Calculated values
M_tot ... 0.0 μB per formula unit
Total energy ... -55.06 eV/f.u.

---

A plane-wave DFT calculation with PBE-GGA was carried out for a relaxed Cd2BiOs crystal.

a b c (Å): 6.9274 6.9274 6.9274
angles (deg): 90.00 90.00 90.00
With the nearest neighbours (Å) after each atom.
Space group F-43m (No. 216)
Unique sites:
1 Cd 0.0000 0.0000 0.0000 [4 per cell]  4 Os 3.00, 4 Cd 3.00
2 Cd 0.2500 0.2500 0.2500 [4 per cell]  4 Cd 3.00, 4 Bi 3.00
3 Bi 0.0000 0.0000 0.5000 [4 per cell]  4 Cd 3.00, 4 Os 3.00
4 Os 0.2500 0.2500 0.7500 [4 per cell]  4 Cd 3.00, 4 Bi 3.00

Calculated values
M_tot ... 0.1 μB per formula unit
Total energy ... -14.22 eV/f.u.

---

A plane-wave DFT calculation with PBE-GGA was carried out for a relaxed CdBi2Os crystal.

a b c (Å): 7.1644 7.1644 7.1644
angles (deg): 90.00 90.00 90.00
With the nearest neighbours (Å) after each atom.
Space group F-43m (No. 216)
Unique sites:
1 Cd 0.0000 0.0000 0.0000 [4 per cell]  4 Bi 3.10, 4 Os 3.10
2 Bi 0.0000 0.0000 0.5000 [4 per cell]  4 Os 3.10, 4 Bi 3.10
3 Bi 0.2500 0.2500 0.2500 [4 per cell]  4 Bi 3.10, 4 Cd 3.10
4 Os 0.2500 0.2500 0.7500 [4 per cell]  4 Cd 3.10, 4 Bi 3.10

Calculated values
M_tot ... 0.0 μB per formula unit
Total energy ... -16.63 eV/f.u.

---

A plane-wave DFT calculation with PBE-GGA was carried out for a relaxed CdBi2Pb crystal.

a b c (Å): 7.8450 7.8450 7.8450
angles (deg): 90.00 90.00 90.00
With the nearest neighbours (Å) after each atom.
Space group F-43m (No. 216)
Unique sites:
1 Cd 0.0000 0.0000 0.0000 [4 per cell]  4 Bi 3.40, 4 Pb 3.40
2 Bi 0.0000 0.0000 0.5000 [4 per cell]  4 Pb 3.40, 4 Bi 3.40
3 Bi 0.2500 0.2500 0.2500 [4 per cell]  4 Bi 3.40, 4 Cd 3.40
4 Pb 0.2500 0.2500 0.7500 [4 per cell]  4 Cd 3.40, 4 Bi 3.40

Calculated values
Total energy ... -12.36 eV/f.u.

---

A plane-wave DFT calculation with PBE-GGA was carried out for a relaxed CdBiPb crystal.

a b c (Å): 7.2870 7.2870 7.2870
angles (deg): 90.00 90.00 90.00
With the nearest neighbours (Å) after each atom.
Space group F-43m (No. 216)
Unique sites:
1 Cd 0.0000 0.0000 0.0000 [4 per cell]  4 Pb 3.16, 4 Bi 3.16
2 Bi 0.2500 0.2500 0.7500 [4 per cell]  4 Cd 3.16
3 Pb 0.2500 0.2500 0.2500 [4 per cell]  4 Cd 3.16

Calculated values
Total energy ... -8.56 eV/f.u.

---

Question: What is the total energy in the eleventh record?
Answer: -12.36 eV/f.u.